1.
Compound: La5TlHg4
Source: the Alexandria database
Functional: PBE-GGA
Structure: optimized geometry

Cell lengths 3.9097, 3.9097, 19.7842 Å; angles 90.00, 90.00, 90.00 degrees
Atoms (fractional coordinates):
La: 0.0000 0.0000 0.0000
La: 0.0000 0.0000 0.1976
La: 0.0000 0.0000 0.3952
La: 0.0000 0.0000 0.6048
La: 0.0000 0.0000 0.8024
Tl: 0.5000 0.5000 0.5000
Hg: 0.5000 0.5000 0.0994
Hg: 0.5000 0.5000 0.2965
Hg: 0.5000 0.5000 0.7035
Hg: 0.5000 0.5000 0.9006

## Properties
The calculation puts the energy relative to the elements at -0.4838 eV/atom. Its crystal system is tetragonal. The value obtained for the uncorrected energy is -33.05 eV per cell. The size of the total moment comes out at 1.83 μB/cell.

=====

2.
Compound: LaTl2Hg
Source: the Alexandria database
Functional: PBE-GGA
Structure: optimized geometry

Cell lengths 4.8510, 4.8510, 9.8270 Å; angles 90.00, 90.00, 90.00 degrees
Atoms (fractional coordinates):
La: 0.0000 0.0000 0.0000
La: 0.5000 0.5000 0.5000
Tl: 0.0000 0.5000 0.2500
Tl: 0.0000 0.5000 0.7500
Tl: 0.5000 0.0000 0.2500
Tl: 0.5000 0.0000 0.7500
Hg: 0.0000 0.0000 0.5000
Hg: 0.5000 0.5000 0.0000

## Properties
The calculation puts the energy relative to the elements at -0.2548 eV/atom. Its crystal system is tetragonal. The value obtained for the uncorrected energy is -21.96 eV per cell. The size of the total moment comes out at 0.00 μB/cell.

=====

3.
Compound: La6TlHg2
Source: the Alexandria database
Functional: PBE-GGA
Structure: optimized geometry

Cell lengths 5.6526, 5.6526, 10.6122 Å; angles 90.00, 90.00, 120.00 degrees
Atoms (fractional coordinates):
La: 0.0000 0.0000 0.1736
La: 0.0000 0.0000 0.8264
La: 0.3333 0.6667 0.0027
La: 0.3333 0.6667 0.3806
La: 0.6667 0.3333 0.6194
La: 0.6667 0.3333 0.9973
Tl: 0.0000 0.0000 0.5000
Hg: 0.3333 0.6667 0.6987
Hg: 0.6667 0.3333 0.3013

## Properties
The energy above the lowest structure with this stoichiometry comes out at 0 meV per atom. The calculation puts the energy relative to the elements at -0.2926 eV/atom. Its crystal system is trigonal. The value obtained for the uncorrected energy is -35.17 eV per cell. The size of the total moment comes out at 0.00 μB/cell.

=====

4.
Compound: LaTl6Hg23
Source: the Alexandria database
Functional: PBE-GGA
Structure: optimized geometry

Cell lengths 10.6306, 10.6306, 10.6306 Å; angles 60.00, 60.00, 60.00 degrees
Atoms (fractional coordinates):
La: 0.0000 0.0000 0.0000
Tl: 0.2833 0.2833 0.7167
Tl: 0.2833 0.7167 0.2833
Tl: 0.2833 0.7167 0.7167
Tl: 0.7167 0.2833 0.2833
Tl: 0.7167 0.2833 0.7167
Tl: 0.7167 0.7167 0.2833
Hg: 0.0000 0.0000 0.5000
Hg: 0.0000 0.5000 0.0000
Hg: 0.0000 0.5000 0.5000
Hg: 0.0304 0.6565 0.6565
Hg: 0.1235 0.1235 0.1235
Hg: 0.1235 0.1235 0.6295
Hg: 0.1235 0.6295 0.1235
Hg: 0.3435 0.3435 0.3435
Hg: 0.3435 0.3435 0.9696
Hg: 0.3435 0.9696 0.3435
Hg: 0.3705 0.8765 0.8765
Hg: 0.5000 0.0000 0.0000
Hg: 0.5000 0.0000 0.5000
Hg: 0.5000 0.5000 0.0000
Hg: 0.5000 0.5000 0.5000
Hg: 0.6295 0.1235 0.1235
Hg: 0.6565 0.0304 0.6565
Hg: 0.6565 0.6565 0.0304
Hg: 0.6565 0.6565 0.6565
Hg: 0.8765 0.3705 0.8765
Hg: 0.8765 0.8765 0.3705
Hg: 0.8765 0.8765 0.8765
Hg: 0.9696 0.3435 0.3435

## Properties
The calculation puts the energy relative to the elements at -0.0337 eV/atom. Its crystal system is cubic. The value obtained for the uncorrected energy is -27.08 eV per cell. The size of the total moment comes out at 0.00 μB/cell.

=====

5.
Compound: La2TlHg
Source: the Alexandria database
Functional: PBE-GGA
Structure: optimized geometry

Cell lengths 10.1124, 3.9923, 6.8178 Å; angles 90.00, 103.63, 90.00 degrees
Atoms (fractional coordinates):
La: 0.2481 0.0000 0.2435
La: 0.2519 0.5000 0.7565
La: 0.7481 0.5000 0.2435
La: 0.7519 0.0000 0.7565
Tl: 0.0000 0.0000 0.5000
Tl: 0.5000 0.5000 0.5000
Hg: 0.0000 0.5000 0.0000
Hg: 0.5000 0.0000 0.0000

## Properties
The calculation puts the energy relative to the elements at -0.2975 eV/atom. Its crystal system is monoclinic. The value obtained for the uncorrected energy is -27.43 eV per cell. The size of the total moment comes out at 0.00 μB/cell.

=====

6.
Compound: La8TlHg2
Source: the Alexandria database
Functional: PBE-GGA
Structure: optimized geometry

Cell lengths 8.8298, 8.8298, 5.8128 Å; angles 100.60, 100.60, 118.39 degrees
Atoms (fractional coordinates):
La: 0.0856 0.3015 0.5850
La: 0.2276 0.7724 0.0000
La: 0.3015 0.0856 0.5850
La: 0.4003 0.4003 0.1959
La: 0.5997 0.5997 0.8041
La: 0.6985 0.9144 0.4150
La: 0.7724 0.2276 0.0000
La: 0.9144 0.6985 0.4150
Tl: 0.0000 0.0000 0.0000
Hg: 0.3078 0.6922 0.5000
Hg: 0.6922 0.3078 0.5000

## Properties
The energy above the lowest structure with this stoichiometry comes out at 21 meV per atom. The calculation puts the energy relative to the elements at -0.1890 eV/atom. Its crystal system is monoclinic. The value obtained for the uncorrected energy is -44.47 eV per cell. The size of the total moment comes out at 0.00 μB/cell.

=====

Here are the calculated V numbers, same order: 302.4; 231.3; 293.7; 849.5; 267.5; 372.1 (Å³ per cell).